PBE-GGA MnReNi2, relaxed; calculated total energy = -32.609 eV/cell; crystal system = trigonal; formation enthalpy at 0 K = 0.571 eV/f.u.; space group = R-3m; total moment = 3.5 μB per cell
1.0
-1.527 -2.032 -8.044
-3.506 -3.387 -6.885
-3.824 -0.809 -7.476
Mn Ni Re
1 2 1
Cartesian
-6.642 -4.671 -16.804 Mn
-0.016 -0.011 -0.041 Ni
-4.412 -3.103 -11.161 Ni
-2.214 -1.557 -5.601 Re

***

PBE-GGA Mn2SnS, relaxed; calculated total energy = -24.309 eV/cell; crystal system = cubic; formation energy without anion corrections = 0.540 eV/atom; space group = Fm-3m; total moment = 0.0 μB per cell
1.0
-1.248 -1.301 3.891
-3.843 1.152 1.516
-3.116 -2.921 0.387
S Mn Sn
1 2 1
Cartesian
0.000 0.000 0.000 S
-2.052 -0.768 1.449 Mn
-6.156 -2.303 4.346 Mn
-4.104 -1.535 2.897 Sn

***

PBE-GGA Pm2TcRh, relaxed; calculated total energy = -27.839 eV/cell; crystal system = tetragonal; formation enthalpy at 0 K = -0.621 eV/f.u.; space group = P4/mmm; total moment = 0.0 μB per cell
1.0
-2.652 -0.190 -2.300
-1.494 -4.241 2.073
-2.886 2.542 3.119
Rh Tc Pm
1 1 2
Cartesian
-1.326 -0.095 -1.150 Rh
-3.516 -0.944 1.446 Tc
-1.443 1.271 1.559 Pm
-0.747 -2.121 1.037 Pm

***

PBE-GGA Fe4IrOs, relaxed; calculated total energy = -53.361 eV/cell; crystal system = cubic; formation enthalpy at 0 K = 0.581 eV/f.u.; space group = F-43m; total moment = 6.9 μB per cell
1.0
-1.701 -4.357 0.071
-3.079 -1.255 3.290
-4.464 -0.787 -1.153
Fe Ir Os
4 1 1
Cartesian
-4.317 -4.580 0.863 Fe
-5.700 -2.793 0.250 Fe
-5.007 -3.027 2.475 Fe
-3.465 -2.399 0.828 Fe
-6.933 -4.799 1.656 Ir
0.000 0.000 0.000 Os

***

PBE-GGA TaMn2Os, relaxed; calculated total energy = -41.665 eV/cell; crystal system = cubic; formation enthalpy at 0 K = -0.243 eV/f.u.; space group = F-43m; total moment = 2.9 μB per cell
1.0
4.320 0.000 0.000
2.160 3.742 0.000
2.160 1.247 3.528
Mn Os Ta
2 1 1
Cartesian
0.000 0.000 0.000 Mn
2.160 1.247 0.882 Mn
4.320 2.494 1.764 Os
6.481 3.742 2.646 Ta

***

PBE-GGA CaAcAlPt, relaxed; calculated total energy = -17.952 eV/cell; crystal system = cubic; formation enthalpy at 0 K = -2.058 eV/f.u.; space group = F-43m; total moment = 0.0 μB per cell
1.0
-2.515 -3.531 -3.056
2.711 -2.801 -3.597
0.801 -5.191 0.736
Ac Ca Pt Al
1 1 1 1
Cartesian
0.499 -5.762 -2.959 Ac
0.000 0.000 0.000 Ca
0.249 -2.881 -1.479 Pt
0.748 -8.643 -4.438 Al

***

Question: The highest total moment belongs to which entry?
Answer: Fe4IrOs